(1)
# Pr3Sn3W2N12 PBE optimized geometry
# **Uncorrected energy**: -1251.69 eV/cell
data_Pr3Sn3W2N12
_cell_length_a 13.1406
_cell_length_b 13.1406
_cell_length_c 13.1406
_cell_angle_alpha 90.00
_cell_angle_beta 90.00
_cell_angle_gamma 90.00
_symmetry_space_group_name_H-M 'I a -3 d'
_symmetry_Int_Tables_number 230
_symmetry_space_group_name_Hall '-I 4bd 2c 3'
loop_
_atom_site_label
_atom_site_fract_x
_atom_site_fract_y
_atom_site_fract_z
Pr1 0.0000 0.2500 0.1250
Sn1 0.0000 0.2500 0.3750
W1 0.0000 0.0000 0.0000
N1 0.0283 0.0546 0.6416


(2)
# GeTeW PBE optimized geometry
# **ΔE to the lowest computed polymorph**: 1.49 eV per formula unit
data_GeTeW
_cell_length_a 6.3922
_cell_length_b 6.3922
_cell_length_c 6.3922
_cell_angle_alpha 90.00
_cell_angle_beta 90.00
_cell_angle_gamma 90.00
_symmetry_space_group_name_H-M 'F -4 3 m'
_symmetry_Int_Tables_number 216
_symmetry_space_group_name_Hall 'F -4 2 3'
loop_
_atom_site_label
_atom_site_fract_x
_atom_site_fract_y
_atom_site_fract_z
Ge1 0.0000 0.0000 0.0000
Te1 0.2500 0.2500 0.7500
W1 0.2500 0.2500 0.2500


(3)
# Tc4AgPd2 PBE optimized geometry
# **Uncorrected energy**: -51.17 eV/cell
data_Tc4AgPd2
_cell_length_a 5.4420
_cell_length_b 5.4420
_cell_length_c 3.8973
_cell_angle_alpha 90.00
_cell_angle_beta 90.00
_cell_angle_gamma 90.00
_symmetry_space_group_name_H-M 'P 4/m m m'
_symmetry_Int_Tables_number 123
_symmetry_space_group_name_Hall '-P 4 2'
loop_
_atom_site_label
_atom_site_fract_x
_atom_site_fract_y
_atom_site_fract_z
Tc1 0.2158 0.2158 0.0000
Ag1 0.5000 0.5000 0.5000
Pd1 0.0000 0.5000 0.5000


(4)
# InSnTe2AuSe PBE optimized geometry
# **Uncorrected energy**: -81.73 eV/cell
data_InSnTe2AuSe
_cell_length_a 4.0126
_cell_length_b 14.5169
_cell_length_c 11.0436
_cell_angle_alpha 90.00
_cell_angle_beta 90.00
_cell_angle_gamma 90.00
_symmetry_space_group_name_H-M 'C m c m'
_symmetry_Int_Tables_number 63
_symmetry_space_group_name_Hall '-C 2c 2'
loop_
_atom_site_label
_atom_site_fract_x
_atom_site_fract_y
_atom_site_fract_z
In1 0.0000 0.2437 0.2500
Sn1 0.0000 0.5000 0.0000
Te1 0.0000 0.1617 0.5657
Au1 0.0000 0.0293 0.7500
Se1 0.0000 0.4046 0.7500